# Sr2ZrCrO6 | the Alexandria database | GGA-PBEsol | optimized geometry
data_Sr2ZrCrO6
_symmetry_space_group_name_H-M 'P 1'
_symmetry_Int_Tables_number 1
_symmetry_space_group_name_Hall 'P 1'
_cell_length_a 5.5915
_cell_length_b 5.5915
_cell_length_c 5.5915
_cell_angle_alpha 90.00
_cell_angle_beta 120.00
_cell_angle_gamma 120.00
loop_
_atom_site_label
_atom_site_fract_x
_atom_site_fract_y
_atom_site_fract_z
_atom_site_occupancy
Sr1 0.5000 0.2500 0.7500 1
Sr2 0.5000 0.7500 0.2500 1
Zr1 0.0000 0.5000 0.5000 1
Cr1 0.0000 0.0000 0.0000 1
O1 0.0000 0.7604 0.7604 1
O2 0.0000 0.2396 0.2396 1
O3 0.4791 0.2396 0.2396 1
O4 0.5209 0.7604 0.7604 1
O5 0.0000 0.2396 0.7604 1
O6 0.0000 0.7604 0.2396 1
# Formation energy (no corrections) (meV per atom): -2878
# Mass density (kg/m³): 5567
# SG: No. 225
# Calculated total energy (eV/atom): -8.329
# Spin magnetization (μB/f.u.): 2.0

# TlAgCl4 | the Alexandria database | GGA-PBEsol | optimized geometry
data_TlAgCl4
_symmetry_space_group_name_H-M 'P 1'
_symmetry_Int_Tables_number 1
_symmetry_space_group_name_Hall 'P 1'
_cell_length_a 5.8710
_cell_length_b 5.8710
_cell_length_c 5.8710
_cell_angle_alpha 60.00
_cell_angle_beta 60.00
_cell_angle_gamma 60.00
loop_
_atom_site_label
_atom_site_fract_x
_atom_site_fract_y
_atom_site_fract_z
_atom_site_occupancy
Ag1 0.0000 0.0000 0.0000 1
Cl1 0.3748 0.3748 0.3748 1
Cl2 0.3748 0.3748 0.8757 1
Cl3 0.8757 0.3748 0.3748 1
Cl4 0.3748 0.8757 0.3748 1
Tl1 0.7500 0.7500 0.7500 1
# Formation energy (no corrections) (meV per atom): 200
# Mass density (kg/m³): 5269
# SG: No. 216
# Calculated total energy (eV/atom): -2.129
# Spin magnetization (μB/f.u.): 2.0

# VCl2 | the Alexandria database | GGA-PBEsol | optimized geometry
data_VCl2
_symmetry_space_group_name_H-M 'P 1'
_symmetry_Int_Tables_number 1
_symmetry_space_group_name_Hall 'P 1'
_cell_length_a 3.5834
_cell_length_b 3.5834
_cell_length_c 5.8511
_cell_angle_alpha 90.00
_cell_angle_beta 90.00
_cell_angle_gamma 120.00
loop_
_atom_site_label
_atom_site_fract_x
_atom_site_fract_y
_atom_site_fract_z
_atom_site_occupancy
V1 0.0000 0.0000 0.0000 1
Cl1 0.3333 0.6667 0.2242 1
Cl2 0.6667 0.3333 0.7758 1
# Formation energy (no corrections) (meV per atom): -1086
# Mass density (kg/m³): 3110
# SG: No. 164
# Calculated total energy (eV/atom): -5.636
# Spin magnetization (μB/f.u.): 3.0

# IrCS2 | the Alexandria database | GGA-PBEsol | optimized geometry
data_IrCS2
_symmetry_space_group_name_H-M 'P 1'
_symmetry_Int_Tables_number 1
_symmetry_space_group_name_Hall 'P 1'
_cell_length_a 3.5789
_cell_length_b 3.5789
_cell_length_c 5.9300
_cell_angle_alpha 72.44
_cell_angle_beta 72.44
_cell_angle_gamma 60.00
loop_
_atom_site_label
_atom_site_fract_x
_atom_site_fract_y
_atom_site_fract_z
_atom_site_occupancy
S1 0.9046 0.9046 0.2861 1
S2 0.0954 0.0954 0.7139 1
Ir1 0.5000 0.5000 0.5000 1
C1 0.0000 0.0000 0.0000 1
# Formation energy (no corrections) (meV per atom): 524
# Mass density (kg/m³): 7228
# SG: No. 166
# Calculated total energy (eV/atom): -6.535
# Spin magnetization (μB/f.u.): 0.0

> Which of these has the highest mass density?

IrCS2